{
  "formula": "MnVGaRu",
  "functional": "PBE",
  "state": "relaxed",
  "cell": [[2.980, 0.000, 0.000], [0.000, 2.980, 0.000], [0.000, 0.000, 5.857]],
  "species": ["Mn", "V", "Ga", "Ru"],
  "fractional_positions": [[0.000, 0.000, 0.000], [0.500, 0.500, 0.774], [0.500, 0.500, 0.249], [0.000, 0.000, 0.515]],
  "formation_energy_ev_per_atom": -0.2900,
  "space_group": "No. 99",
  "density_g_cm3": 8.83,
  "e_tot_ev_per_fu": -31.75
}